(1)
First-principles (GGA-PBE) data for a geometry-optimized ThSi2Ir2 structure, as listed in the Alexandria database.

abc: 4.120 4.120 10.202
angles: 90.00 90.00 90.00
Fractional coordinates of all 10 atoms:
Th: 0.000 0.000 0.000
Th: 0.500 0.500 0.500
Si: 0.000 0.000 0.379
Si: 0.000 0.000 0.621
Si: 0.500 0.500 0.121
Si: 0.500 0.500 0.879
Ir: 0.000 0.500 0.250
Ir: 0.000 0.500 0.750
Ir: 0.500 0.000 0.250
Ir: 0.500 0.000 0.750

* space-group type: I4/mmm, No. 139
* N(E_F): 0.3564 states/eV per atom
* uncorrected formation energy: -1.061 eV/atom

=====

(2)
First-principles (GGA-PBE) data for a geometry-optimized Th2Si5Ir3 structure, as listed in the Alexandria database.

abc: 8.250 8.250 8.250
angles: 104.74 90.44 137.54
Fractional coordinates of all 20 atoms:
Th: 0.130 0.231 0.361
Th: 0.370 0.731 0.100
Th: 0.630 0.269 0.900
Th: 0.870 0.769 0.639
Si: 0.022 0.750 0.272
Si: 0.110 0.650 0.760
Si: 0.250 0.250 0.000
Si: 0.390 0.150 0.541
Si: 0.478 0.750 0.728
Si: 0.522 0.250 0.272
Si: 0.610 0.850 0.459
Si: 0.750 0.750 0.000
Si: 0.890 0.350 0.240
Si: 0.978 0.250 0.728
Ir: 0.138 0.886 0.024
Ir: 0.250 0.750 0.500
Ir: 0.362 0.386 0.747
Ir: 0.638 0.614 0.253
Ir: 0.750 0.250 0.500
Ir: 0.862 0.114 0.976

* space-group type: Ibam, No. 72
* N(E_F): 0.2844 states/eV per atom
* uncorrected formation energy: -1.005 eV/atom

=====

(3)
First-principles (GGA-PBE) data for a geometry-optimized ThSi2Ir4 structure, as listed in the Alexandria database.

abc: 4.103 13.781 4.113
angles: 90.00 90.00 90.00
Fractional coordinates of all 14 atoms:
Th: 0.000 0.000 0.000
Th: 0.500 0.500 0.000
Si: 0.000 0.410 0.500
Si: 0.000 0.590 0.500
Si: 0.500 0.090 0.500
Si: 0.500 0.910 0.500
Ir: 0.000 0.179 0.500
Ir: 0.000 0.325 0.000
Ir: 0.000 0.675 0.000
Ir: 0.000 0.821 0.500
Ir: 0.500 0.175 0.000
Ir: 0.500 0.321 0.500
Ir: 0.500 0.679 0.500
Ir: 0.500 0.825 0.000

* space-group type: Cmmm, No. 65
* N(E_F): 0.3462 states/eV per atom
* uncorrected formation energy: -0.712 eV/atom

=====

(4)
First-principles (GGA-PBE) data for a geometry-optimized ThSi2Ir4 structure, as listed in the Alexandria database.

abc: 17.442 4.092 6.531
angles: 90.00 90.00 90.00
Fractional coordinates of all 28 atoms:
Th: 0.140 0.250 0.016
Th: 0.360 0.750 0.516
Th: 0.640 0.250 0.484
Th: 0.860 0.750 0.984
Si: 0.039 0.750 0.260
Si: 0.204 0.250 0.568
Si: 0.296 0.750 0.068
Si: 0.461 0.250 0.760
Si: 0.539 0.750 0.240
Si: 0.704 0.250 0.932
Si: 0.796 0.750 0.432
Si: 0.961 0.250 0.740
Ir: 0.027 0.750 0.858
Ir: 0.065 0.250 0.503
Ir: 0.172 0.750 0.359
Ir: 0.218 0.750 0.764
Ir: 0.282 0.250 0.264
Ir: 0.328 0.250 0.859
Ir: 0.435 0.750 0.003
Ir: 0.473 0.250 0.358
Ir: 0.527 0.750 0.642
Ir: 0.565 0.250 0.997
Ir: 0.672 0.750 0.141
Ir: 0.718 0.750 0.736
Ir: 0.782 0.250 0.236
Ir: 0.828 0.250 0.641
Ir: 0.935 0.750 0.497
Ir: 0.973 0.250 0.142

* space-group type: Pnma, No. 62
* N(E_F): 0.4804 states/eV per atom
* uncorrected formation energy: -0.704 eV/atom

=====

(5)
First-principles (GGA-PBE) data for a geometry-optimized Th3Si2Ir4 structure, as listed in the Alexandria database.

abc: 5.944 5.944 8.577
angles: 105.82 105.82 40.82
Fractional coordinates of all 9 atoms:
Th: 0.000 0.000 0.000
Th: 0.337 0.337 0.330
Th: 0.663 0.663 0.670
Si: 0.387 0.387 0.715
Si: 0.613 0.613 0.285
Ir: 0.061 0.061 0.383
Ir: 0.288 0.288 0.927
Ir: 0.712 0.712 0.073
Ir: 0.939 0.939 0.617

* space-group type: C2/m, No. 12
* N(E_F): 0.6685 states/eV per atom
* uncorrected formation energy: -0.934 eV/atom

=====

(6)
First-principles (GGA-PBE) data for a geometry-optimized Th2Si3Ir structure, as listed in the Alexandria database.

abc: 4.119 4.229 14.259
angles: 90.00 90.00 90.00
Fractional coordinates of all 12 atoms:
Th: 0.000 0.000 0.000
Th: 0.000 0.500 0.252
Th: 0.500 0.000 0.752
Th: 0.500 0.500 0.500
Si: 0.000 0.000 0.421
Si: 0.000 0.500 0.668
Si: 0.000 0.500 0.835
Si: 0.500 0.000 0.168
Si: 0.500 0.000 0.335
Si: 0.500 0.500 0.921
Ir: 0.000 0.000 0.587
Ir: 0.500 0.500 0.087

* space-group type: Imm2, No. 44
* N(E_F): 0.4773 states/eV per atom
* uncorrected formation energy: -0.923 eV/atom

=====

(7)
First-principles (GGA-PBE) data for a geometry-optimized Th3Si4Ir structure, as listed in the Alexandria database.

abc: 4.487 5.877 14.112
angles: 90.00 90.00 90.00
Fractional coordinates of all 16 atoms:
Th: 0.000 0.000 0.000
Th: 0.000 0.500 0.184
Th: 0.000 0.500 0.816
Th: 0.500 0.000 0.316
Th: 0.500 0.000 0.684
Th: 0.500 0.500 0.500
Si: 0.000 0.295 0.381
Si: 0.000 0.295 0.619
Si: 0.000 0.705 0.381
Si: 0.000 0.705 0.619
Si: 0.500 0.205 0.119
Si: 0.500 0.205 0.881
Si: 0.500 0.795 0.119
Si: 0.500 0.795 0.881
Ir: 0.000 0.000 0.500
Ir: 0.500 0.500 0.000

* space-group type: Immm, No. 71
* N(E_F): 0.3639 states/eV per atom
* uncorrected formation energy: -0.672 eV/atom

=====

(8)
First-principles (GGA-PBE) data for a geometry-optimized ThSi4Ir6 structure, as listed in the Alexandria database.

abc: 7.054 7.054 3.895
angles: 90.00 90.00 120.00
Fractional coordinates of all 11 atoms:
Th: 0.000 0.000 0.000
Si: 0.201 0.401 0.500
Si: 0.201 0.799 0.500
Si: 0.599 0.799 0.500
Si: 0.667 0.333 0.000
Ir: 0.064 0.532 0.000
Ir: 0.396 0.198 0.500
Ir: 0.468 0.532 0.000
Ir: 0.468 0.936 0.000
Ir: 0.802 0.198 0.500
Ir: 0.802 0.604 0.500

* space-group type: P-6m2, No. 187
* N(E_F): 0.4723 states/eV per atom
* uncorrected formation energy: -0.873 eV/atom

=====

(9)
First-principles (GGA-PBE) data for a geometry-optimized Th2Si6Ir9 structure, as listed in the Alexandria database.

abc: 5.622 5.622 10.949
angles: 90.00 90.00 120.00
Fractional coordinates of all 17 atoms:
Th: 0.000 0.000 0.196
Th: 0.000 0.000 0.804
Si: 0.333 0.667 0.165
Si: 0.333 0.667 0.500
Si: 0.333 0.667 0.835
Si: 0.667 0.333 0.165
Si: 0.667 0.333 0.500
Si: 0.667 0.333 0.835
Ir: 0.000 0.500 0.000
Ir: 0.000 0.500 0.332
Ir: 0.000 0.500 0.668
Ir: 0.500 0.000 0.000
Ir: 0.500 0.000 0.332
Ir: 0.500 0.000 0.668
Ir: 0.500 0.500 0.000
Ir: 0.500 0.500 0.332
Ir: 0.500 0.500 0.668

* space-group type: P6/mmm, No. 191
* N(E_F): 0.4740 states/eV per atom
* uncorrected formation energy: -0.747 eV/atom

=====

(10)
First-principles (GGA-PBE) data for a geometry-optimized ThSi2Ir2 structure, as listed in the Alexandria database.

abc: 4.191 4.191 9.974
angles: 90.00 90.00 90.00
Fractional coordinates of all 10 atoms:
Th: 0.250 0.250 0.245
Th: 0.750 0.750 0.755
Si: 0.250 0.250 0.631
Si: 0.250 0.750 0.000
Si: 0.750 0.250 0.000
Si: 0.750 0.750 0.369
Ir: 0.250 0.250 0.874
Ir: 0.250 0.750 0.500
Ir: 0.750 0.250 0.500
Ir: 0.750 0.750 0.126

* space-group type: P4/nmm, No. 129
* N(E_F): 0.5219 states/eV per atom
* uncorrected formation energy: -1.096 eV/atom

=====

(11)
First-principles (GGA-PBE) data for a geometry-optimized ThSi4Ir4 structure, as listed in the Alexandria database.

abc: 6.311 6.311 6.311
angles: 97.34 97.34 138.10
Fractional coordinates of all 9 atoms:
Th: 0.000 0.000 0.000
Si: 0.209 0.337 0.546
Si: 0.337 0.791 0.128
Si: 0.663 0.209 0.872
Si: 0.791 0.663 0.454
Ir: 0.090 0.646 0.736
Ir: 0.354 0.090 0.445
Ir: 0.646 0.910 0.555
Ir: 0.910 0.354 0.264

* space-group type: I4/m, No. 87
* N(E_F): 0.3275 states/eV per atom
* uncorrected formation energy: -0.631 eV/atom

=====

(12)
First-principles (GGA-PBE) data for a geometry-optimized Th3Si2Ir7 structure, as listed in the Alexandria database.

abc: 13.994 13.994 4.139
angles: 90.00 90.00 163.03
Fractional coordinates of all 12 atoms:
Th: 0.000 0.000 0.000
Th: 0.200 0.800 0.000
Th: 0.800 0.200 0.000
Si: 0.416 0.584 0.500
Si: 0.584 0.416 0.500
Ir: 0.126 0.874 0.500
Ir: 0.292 0.708 0.500
Ir: 0.375 0.625 0.000
Ir: 0.500 0.500 0.500
Ir: 0.625 0.375 0.000
Ir: 0.708 0.292 0.500
Ir: 0.874 0.126 0.500

* space-group type: Cmmm, No. 65
* N(E_F): 0.4198 states/eV per atom
* uncorrected formation energy: -0.669 eV/atom

=====

The evaluated total DFT energy (no corrections) for the records listed, in turn: -8.259 -7.859 -8.384 -8.376 -8.550 -7.584 -7.274 -8.353 -8.225 -8.293 -7.804 -8.596 eV/atom.